First-principles (PBE) data for an optimized crystal structure of GeSbH3, as listed in Alexandria via LeMat-Bulk.

Structure (extended XYZ):
```
5
Lattice="3.850 0.000 0.000 0.000 3.850 0.000 0.000 0.000 3.850" Properties=species:S:1:pos:R:3 pbc="T T T"
Ge 0.000 0.000 0.000
Sb 1.925 1.925 1.925
H 0.000 0.000 1.925
H 0.000 1.925 0.000
H 1.925 0.000 0.000
```

Calculated values
Symmetry ... Pm-3m, No. 221
DOS(E_F) ... 0.413 states/eV per atom
Excess energy over the best structure of this formula in the dataset ... 0.000 eV/f.u.
Final energy ... -3.060 eV/atom